# 1
An optimized crystal structure of AcSiTc2N, computed with PBE.

The structure belongs to space group Cmcm (No. 63); the cell edges are 4.056, 11.316 and 7.387 Å and the angles 90.00°, 90.00° and 90.00°. The inequivalent atoms are Ac at (0.000, 0.047, 0.250), Si at (0.000, 0.230, 0.750), Tc at (0.000, 0.330, 0.061) and N at (0.000, 0.500, 0.000).

The calculated density comes out at 9.11 g/cm³. As for the energy relative to the elements, uncorrected: -612 meV/atom. The calculation puts the density of states at the Fermi level at 0.992 states/eV per atom.

---

# 2
An optimized crystal structure of BaLa2Gd, computed with PBE.

The structure belongs to space group P4/mmm (No. 123); the cell edges are 3.822, 3.822 and 11.059 Å and the angles 90.00°, 90.00° and 90.00°. The inequivalent atoms are Ba at (0.000, 0.000, 0.000), La at (0.500, 0.500, 0.283) and Gd at (0.000, 0.000, 0.500).

The calculated density comes out at 5.88 g/cm³. The value obtained for the formation energy from the elements is 100 meV per atom. The calculation puts the density of states at the Fermi level at 1.555 states/eV per atom. The energy above the most stable polymorph in this dataset is 0 kJ/mol of formula units.

---

# 3
An optimized crystal structure of LiLa2TiCl, computed with PBE.

The structure belongs to space group P4/mmm (No. 123); the cell edges are 5.650, 5.650 and 4.271 Å and the angles 90.00°, 90.00° and 90.00°. The inequivalent atoms are Li at (0.000, 0.000, 0.000), La at (0.000, 0.500, 0.500), Ti at (0.500, 0.500, 0.000) and Cl at (0.000, 0.000, 0.500).

The calculated density comes out at 4.48 g/cm³. As for the energy relative to the elements, uncorrected: -265 meV/atom. The calculation puts the density of states at the Fermi level at 1.762 states/eV per atom.